{
  "formula": "Ac4PSe2Cl",
  "functional": "PBE",
  "state": "relaxed",
  "lattice_angstrom": [[-3.664, -2.204, -1.072], [4.159, -6.424, -1.010], [0.363, -3.814, 6.602]],
  "species": ["Ac", "Ac", "Ac", "Ac", "Se", "Se", "P", "Cl"],
  "frac_coords": [[0.000, 0.254, 0.262], [0.500, 0.738, 0.265], [0.500, 0.262, 0.735], [0.000, 0.746, 0.738], [0.000, 0.000, 0.000], [0.500, 0.000, 0.500], [0.000, 0.500, 0.500], [0.500, 0.500, 0.000]],
  "total_magnetization_mub_per_atom": 0.00,
  "dos_ef_per_ev_fu": 4.1,
  "total_energy_ry_per_atom": -0.40616,
  "raw_formation_energy_mev_per_atom": -1694
}



{
  "formula": "Pm6Ge2TeP3",
  "functional": "PBE",
  "state": "relaxed",
  "lattice_angstrom": [[4.159, 0.000, 0.000], [0.000, 8.599, 0.227], [-2.079, -2.563, 8.915]],
  "species": ["Pm", "Pm", "Pm", "Pm", "Pm", "Pm", "P", "P", "P", "Te", "Ge", "Ge"],
  "frac_coords": [[0.002, 0.730, 0.003], [0.665, 0.592, 0.329], [0.335, 0.408, 0.671], [0.998, 0.270, 0.997], [0.327, 0.921, 0.653], [0.673, 0.079, 0.347], [0.500, 0.500, 0.000], [0.836, 0.166, 0.671], [0.164, 0.834, 0.329], [0.500, 0.000, 0.000], [0.833, 0.665, 0.666], [0.167, 0.335, 0.334]],
  "total_magnetization_mub_per_atom": 0.00,
  "dos_ef_per_ev_fu": 4.8,
  "total_energy_ry_per_atom": -0.44400,
  "raw_formation_energy_mev_per_atom": -1282
}